[1]
This record from the Alexandria database describes a geometry-optimized PrSmAg3 structure. The functional is PBE.

Properties
magnetization	0.00	μB per atom
space group	Cmcm, No. 63
energy of formation from the pure elements	-0.2498	eV/atom
distance to the lowest polymorph of the same formula	0.000	eV/atom

Cell lengths 3.634, 4.841, 14.372 Å; angles 90.00, 97.26, 90.00 degrees
Positions (direct):
Pr  0.074  0.250  0.148
Ag  0.524  0.750  0.047
Ag  0.476  0.250  0.953
Sm  0.791  0.250  0.582
Ag  0.379  0.250  0.759
Ag  0.621  0.750  0.241
Sm  0.209  0.750  0.418
Ag  0.676  0.250  0.352
Pr  0.926  0.750  0.852
Ag  0.324  0.750  0.648

=====

[2]
This record from the Alexandria database describes a geometry-optimized PrSm2Ag2 structure. The functional is PBE.

Properties
magnetization	0.00	μB per atom
space group	C2/m, No. 12
energy of formation from the pure elements	-0.0351	eV/atom
distance to the lowest polymorph of the same formula	0.161	eV/atom

Cell lengths 5.038, 5.038, 7.308 Å; angles 114.96, 114.96, 88.90 degrees
Positions (direct):
Pr  0.000  0.000  0.000
Sm  0.751  0.249  0.500
Sm  0.249  0.751  0.500
Ag  0.431  0.431  0.787
Ag  0.569  0.569  0.213

=====

[3]
This record from the Alexandria database describes a geometry-optimized Pr2Sm3Ag3 structure. The functional is PBE.

Properties
magnetization	0.00	μB per atom
space group	Immm, No. 71
energy of formation from the pure elements	-0.1716	eV/atom

Cell lengths 3.786, 5.391, 11.561 Å; angles 103.48, 99.42, 90.00 degrees
Positions (direct):
Pr  0.730  0.230  0.460
Ag  0.886  0.886  0.773
Ag  0.114  0.114  0.227
Ag  0.000  0.500  0.000
Sm  0.619  0.619  0.237
Sm  0.500  0.000  0.000
Sm  0.381  0.381  0.763
Pr  0.270  0.770  0.540

=====

[4]
This record from the Alexandria database describes a geometry-optimized Pr6SmAg2 structure. The functional is PBE.

Properties
magnetization	0.00	μB per atom
space group	C2/c, No. 15
energy of formation from the pure elements	-0.0184	eV/atom
distance to the lowest polymorph of the same formula	0.082	eV/atom

Cell lengths 6.299, 9.755, 9.755 Å; angles 72.70, 86.86, 86.86 degrees
Positions (direct):
Pr  0.311  0.727  0.041
Pr  0.189  0.959  0.273
Ag  0.403  0.538  0.794
Pr  0.828  0.652  0.895
Ag  0.903  0.794  0.538
Pr  0.499  0.322  0.561
Pr  0.811  0.041  0.727
Sm  0.750  0.898  0.102
Pr  0.328  0.895  0.652
Pr  0.689  0.273  0.959
Ag  0.097  0.206  0.462
Pr  0.501  0.678  0.439
Pr  0.172  0.348  0.105
Ag  0.597  0.462  0.206
Pr  0.999  0.561  0.322
Pr  0.001  0.439  0.678
Pr  0.672  0.105  0.348
Sm  0.250  0.102  0.898

=====

[5]
This record from the Alexandria database describes a geometry-optimized PrSm5Ag6 structure. The functional is PBE.

Properties
magnetization	0.00	μB per atom
space group	Cmmm, No. 65
energy of formation from the pure elements	-0.2728	eV/atom

Cell lengths 5.298, 7.364, 8.381 Å; angles 90.00, 71.57, 90.00 degrees
Positions (direct):
Sm  0.666  0.500  0.668
Sm  0.333  0.000  0.335
Ag  0.831  0.747  0.338
Ag  0.169  0.747  0.662
Ag  0.831  0.253  0.338
Sm  0.334  0.500  0.332
Ag  0.169  0.253  0.662
Pr  0.000  0.000  0.000
Sm  0.000  0.500  0.000
Sm  0.667  0.000  0.665
Ag  0.500  0.255  0.000
Ag  0.500  0.745  0.000

=====

[6]
This record from the Alexandria database describes a geometry-optimized Pr2Sm3Ag2 structure. The functional is PBE.

Properties
magnetization	0.00	μB per atom
space group	C2/m, No. 12
energy of formation from the pure elements	-0.1232	eV/atom
distance to the lowest polymorph of the same formula	0.000	eV/atom

Cell lengths 3.830, 6.887, 9.446 Å; angles 115.24, 90.00, 106.15 degrees
Positions (direct):
Ag  0.831  0.663  0.770
Pr  0.852  0.705  0.187
Sm  0.500  0.000  0.000
Sm  0.612  0.225  0.448
Sm  0.388  0.775  0.552
Ag  0.169  0.337  0.230
Pr  0.148  0.295  0.813

=====

Which density of states at the Fermi level belongs to each record? In order, 9.1 5.0 8.6 22.2 8.2 7.8 states/eV per cell.